i.
Be2ReCl | PBE-GGA | relaxed

Summary:
Magnetic moment: 0.000 μB per formula unit

Unit cell a=2.9074 b=2.9074 c=20.9420 alpha=90.00 beta=90.00 gamma=120.00
Space group R-3m (No. 166, hexagonal axes)
Symmetry-distinct sites (fractional):
Be  0.0000  0.0000  0.2501 [6 per cell]
Re  0.0000  0.0000  0.0000 [3 per cell]
Cl  0.0000  0.0000  0.5000 [3 per cell]

ii.
Be2ReCl | PBE-GGA | relaxed

Summary:
Magnetic moment: 0.000 μB per formula unit

Unit cell a=3.058 b=3.058 c=5.672 alpha=90.00 beta=90.00 gamma=90.00
Space group P4/mmm (No. 123)
Symmetry-distinct sites (fractional):
Be  0.000  0.000  0.181 [2 per cell]
Re  0.500  0.500  0.000 [1 per cell]
Cl  0.500  0.500  0.500 [1 per cell]

iii.
Be2ReCl | PBE-GGA | relaxed

Summary:
Magnetic moment: 0.000 μB per formula unit

Unit cell a=6.169 b=6.169 c=5.269 alpha=90.00 beta=90.00 gamma=90.00
Space group I-42d (No. 122)
Symmetry-distinct sites (fractional):
Be  0.221  0.250  0.125 [8 per cell]
Re  0.000  0.000  0.500 [4 per cell]
Cl  0.000  0.000  0.000 [4 per cell]

iv.
Be2ReCl | PBE-GGA | relaxed

Summary:
Magnetic moment: 0.000 μB per formula unit

Unit cell a=2.726 b=4.896 c=9.768 alpha=90.00 beta=90.00 gamma=90.00
Space group Cmm2 (No. 35)
Symmetry-distinct sites (fractional):
Be  0.000  0.000  0.000 [2 per cell]
Be  0.000  0.500  0.199 [2 per cell]
Re  0.000  0.500  0.798 [2 per cell]
Cl  0.000  0.000  0.345 [2 per cell]

Which of them is most stable, and which least? Most stable: i; least stable: iii.

i.
BeReCl | PBE-GGA | relaxed

Summary:
Magnetic moment: 0.000 μB per formula unit

Unit cell a=4.845 b=2.798 c=8.183 alpha=90.00 beta=105.66 gamma=90.00
Space group Cm (No. 8)
Symmetry-distinct sites (fractional):
Be  0.000  0.000  0.000 [2 per cell]
Re  0.214  0.000  0.739 [2 per cell]
Cl  0.242  0.500  0.165 [2 per cell]

ii.
BeReCl | PBE-GGA | relaxed

Summary:
Magnetic moment: 0.000 μB per formula unit

Unit cell a=2.877 b=2.877 c=12.874 alpha=90.00 beta=90.00 gamma=90.00
Space group I4mm (No. 107)
Symmetry-distinct sites (fractional):
Be  0.000  0.000  0.000 [2 per cell]
Re  0.000  0.000  0.406 [2 per cell]
Cl  0.000  0.000  0.773 [2 per cell]

Which of them is most stable, and which least? Most stable: i; least stable: ii.

i.
BeReCl | PBE-GGA | relaxed

Summary:
Magnetic moment: 1.154 μB per formula unit

Unit cell a=5.728 b=5.728 c=5.728 alpha=90.00 beta=90.00 gamma=90.00
Space group F-43m (No. 216)
Symmetry-distinct sites (fractional):
Be  0.000  0.000  0.000 [4 per cell]
Re  0.250  0.250  0.750 [4 per cell]
Cl  0.000  0.000  0.500 [4 per cell]

ii.
BeReCl | PBE-GGA | relaxed

Summary:
Magnetic moment: 0.000 μB per formula unit

Unit cell a=2.747 b=2.804 c=11.854 alpha=90.00 beta=90.00 gamma=90.00
Space group Imm2 (No. 44)
Symmetry-distinct sites (fractional):
Be  0.000  0.000  0.000 [2 per cell]
Re  0.000  0.000  0.372 [2 per cell]
Cl  0.000  0.000  0.177 [2 per cell]

Which of them is most stable, and which least? Most stable: ii; least stable: i.

i.
BeReCl | PBE-GGA | relaxed

Summary:
Magnetic moment: 0.000 μB per formula unit

Unit cell a=4.2126 b=4.2126 c=2.6898 alpha=90.00 beta=90.00 gamma=120.00
Space group P-6m2 (No. 187)
Symmetry-distinct sites (fractional):
Be  0.0000  0.0000  0.0000 [1 per cell]
Re  0.6667  0.3333  0.5000 [1 per cell]
Cl  0.3333  0.6667  0.5000 [1 per cell]

ii.
BeReCl | PBE-GGA | relaxed

Summary:
Magnetic moment: 0.000 μB per formula unit

Unit cell a=5.620 b=5.620 c=5.620 alpha=90.00 beta=90.00 gamma=90.00
Space group F-43m (No. 216)
Symmetry-distinct sites (fractional):
Be  0.000  0.000  0.000 [4 per cell]
Re  0.250  0.250  0.750 [4 per cell]
Cl  0.250  0.250  0.250 [4 per cell]

iii.
BeReCl | PBE-GGA | relaxed

Summary:
Magnetic moment: 0.000 μB per formula unit

Unit cell a=2.7996 b=2.7996 c=7.7325 alpha=90.00 beta=90.00 gamma=120.00
Space group P3m1 (No. 156)
Symmetry-distinct sites (fractional):
Be  0.0000  0.0000  0.0000 [1 per cell]
Re  0.3333  0.6667  0.7347 [1 per cell]
Cl  0.6667  0.3333  0.1681 [1 per cell]

Which of them is most stable, and which least? Most stable: iii; least stable: ii.

i.
Be3ReCl | PBE-GGA | relaxed

Summary:
Magnetic moment: 0.000 μB per formula unit

Unit cell a=4.383 b=4.383 c=4.383 alpha=90.00 beta=90.00 gamma=90.00
Space group Pm-3m (No. 221)
Symmetry-distinct sites (fractional):
Be  0.000  0.000  0.500 [3 per cell]
Re  0.000  0.000  0.000 [1 per cell]
Cl  0.500  0.500  0.500 [1 per cell]

ii.
Be3ReCl | PBE-GGA | relaxed

Summary:
Magnetic moment: 0.000 μB per formula unit

Unit cell a=3.963 b=3.963 c=3.963 alpha=90.00 beta=90.00 gamma=90.00
Space group Pm-3m (No. 221)
Symmetry-distinct sites (fractional):
Be  0.000  0.000  0.500 [3 per cell]
Re  0.500  0.500  0.500 [1 per cell]
Cl  0.000  0.000  0.000 [1 per cell]

Which of them is most stable, and which least? Most stable: ii; least stable: i.

i.
Be2ReCl2 | PBE-GGA | relaxed

Summary:
Magnetic moment: 3.478 μB per formula unit

Unit cell a=3.969 b=3.969 c=9.969 alpha=90.00 beta=90.00 gamma=90.00
Space group I4/mmm (No. 139)
Symmetry-distinct sites (fractional):
Be  0.000  0.000  0.106 [4 per cell]
Re  0.000  0.000  0.500 [2 per cell]
Cl  0.000  0.500  0.250 [4 per cell]

ii.
Be2ReCl2 | PBE-GGA | relaxed

Summary:
Magnetic moment: 1.149 μB per formula unit

Unit cell a=7.832 b=7.832 c=2.858 alpha=90.00 beta=90.00 gamma=90.00
Space group P4/mbm (No. 127)
Symmetry-distinct sites (fractional):
Be  0.249  0.251  0.000 [4 per cell]
Re  0.000  0.000  0.000 [2 per cell]
Cl  0.129  0.371  0.500 [4 per cell]

Which of them is most stable, and which least? Most stable: ii; least stable: i.

i.
BeReS2Cl | PBE-GGA | relaxed

Summary:
Magnetic moment: 0.583 μB per formula unit

Unit cell a=4.288 b=4.288 c=4.101 alpha=90.00 beta=90.00 gamma=90.00
Space group P4/mmm (No. 123)
Symmetry-distinct sites (fractional):
Be  0.000  0.000  0.000 [1 per cell]
Re  0.500  0.500  0.500 [1 per cell]
S  0.000  0.500  0.000 [2 per cell]
Cl  0.000  0.000  0.500 [1 per cell]

ii.
BeReS2Cl | PBE-GGA | relaxed

Summary:
Magnetic moment: 0.004 μB per formula unit

Unit cell a=4.553 b=4.553 c=5.072 alpha=90.00 beta=90.00 gamma=90.00
Space group P4/mmm (No. 123)
Symmetry-distinct sites (fractional):
Be  0.000  0.000  0.000 [1 per cell]
Re  0.500  0.500  0.500 [1 per cell]
S  0.000  0.500  0.500 [2 per cell]
Cl  0.500  0.500  0.000 [1 per cell]

Which of them is most stable, and which least? Most stable: ii; least stable: i.

i.
BeReSCl2 | PBE-GGA | relaxed

Summary:
Magnetic moment: 4.721 μB per formula unit

Unit cell a=4.097 b=4.097 c=5.743 alpha=90.00 beta=90.00 gamma=90.00
Space group P4/mmm (No. 123)
Symmetry-distinct sites (fractional):
Be  0.000  0.000  0.000 [1 per cell]
Re  0.500  0.500  0.500 [1 per cell]
S  0.000  0.000  0.500 [1 per cell]
Cl  0.000  0.500  0.000 [2 per cell]

ii.
BeReSCl2 | PBE-GGA | relaxed

Summary:
Magnetic moment: 0.787 μB per formula unit

Unit cell a=4.910 b=4.910 c=4.503 alpha=90.00 beta=90.00 gamma=90.00
Space group P4/mmm (No. 123)
Symmetry-distinct sites (fractional):
Be  0.000  0.000  0.000 [1 per cell]
Re  0.500  0.500  0.500 [1 per cell]
S  0.500  0.500  0.000 [1 per cell]
Cl  0.000  0.500  0.500 [2 per cell]

Which of them is most stable, and which least? Most stable: i; least stable: ii.